NaNi2Sn4: optimized geometry, PBE-GGA.

Its relative energy among the computed polymorphs is 2.6 kJ/mol of formula units. Its calculated volume is 23.18 Å³ per atom.

The space group is R-3m (No. 166, hexagonal axes) and the conventional cell measures 4.3074, 4.3074 and 30.3000 Å, with angles of 90.00, 90.00 and 120.00 degrees. The distinct sites, in fractional coordinates, are Na at (0.0000, 0.0000, 0.0000), Ni at (0.0000, 0.0000, 0.1094), Sn at (0.0000, 0.0000, 0.1995) and Sn at (0.0000, 0.0000, 0.4049).

=====

NaNi2Sn2: optimized geometry, PBE-GGA.

Its relative energy among the computed polymorphs is 28.8 kJ/mol of formula units. Its calculated volume is 18.13 Å³ per atom.

The space group is P4/mbm (No. 127) and the conventional cell measures 7.818, 7.818 and 2.965 Å, with angles of 90.00, 90.00 and 90.00 degrees. The distinct sites, in fractional coordinates, are Na at (0.000, 0.000, 0.000), Ni at (0.142, 0.358, 0.500) and Sn at (0.150, 0.650, 0.000).

=====

NaNi4Sn12: optimized geometry, PBE-GGA.

Its calculated volume is 23.50 Å³ per atom.

The space group is Im-3 (No. 204) and the conventional cell measures 9.279, 9.279 and 9.279 Å, with angles of 90.00, 90.00 and 90.00 degrees. The distinct sites, in fractional coordinates, are Na at (0.000, 0.000, 0.000), Ni at (0.250, 0.250, 0.250) and Sn at (0.000, 0.166, 0.333).

=====

Raw total energy values (in eV/cell) by entry order: -90.458 -42.264 -149.106.
Energy of formation from the pure elements values (in meV/atom) by entry order: -179.9 -48.9 -122.0.